# 1
First-principles (PBE-GGA) data for an optimized crystal structure of Ta5Ni2H5, as listed in Alexandria via LeMat-Bulk.

Cell: 5.5379 5.5379 8.0140 Å, 95.43 95.43 30.35°
Sites, in units of the cell vectors:
Ta1 0.0000 0.0000 0.0000
Ta2 0.1300 0.1300 0.4500
Ta3 0.2718 0.2718 0.8314
Ta4 0.7282 0.7282 0.1686
Ta5 0.8700 0.8700 0.5500
Ni1 0.4530 0.4530 0.2729
Ni2 0.5470 0.5470 0.7271
H1 0.2986 0.2986 0.3494
H2 0.3718 0.3718 0.0687
H3 0.5000 0.5000 0.5000
H4 0.6282 0.6282 0.9313
H5 0.7014 0.7014 0.6506

Calculated values
size of the total moment = 0.0 Bohr magnetons per cell
final energy = -7.383 eV/atom
N(E_F) = 7.311 states/eV/f.u.


# 2
First-principles (PBE-GGA) data for an optimized crystal structure of Tb4YEr2Mg, as listed in Alexandria via LeMat-Bulk.

Cell: 4.9736 4.9736 9.8950 Å, 90.00 90.00 90.00°
Sites, in units of the cell vectors:
Tb1 0.0000 0.5000 0.2464
Tb2 0.0000 0.5000 0.7536
Tb3 0.5000 0.0000 0.2464
Tb4 0.5000 0.0000 0.7536
Y1 0.0000 0.0000 0.5000
Er1 0.0000 0.0000 0.0000
Er2 0.5000 0.5000 0.5000
Mg1 0.5000 0.5000 0.0000

Calculated values
size of the total moment = 0.0 Bohr magnetons per cell
final energy = -4.444 eV/atom
N(E_F) = 11.892 states/eV/f.u.


# 3
First-principles (PBE-GGA) data for an optimized crystal structure of Ta2BeZn, as listed in Alexandria via LeMat-Bulk.

Cell: 4.7162 4.7162 4.7162 Å, 130.52 129.69 73.25°
Sites, in units of the cell vectors:
Ta1 0.2488 0.2488 0.0000
Ta2 0.7512 0.7512 0.0000
Be1 0.0000 0.5000 0.5000
Zn1 0.5000 0.0000 0.5000

Calculated values
size of the total moment = 0.0 Bohr magnetons per cell
final energy = -7.113 eV/atom
N(E_F) = 2.487 states/eV/f.u.
distance to the lowest polymorph of the same formula = 71 meV per atom


Q: size of the total moment of number 1 (Ta5Ni2H5)?
A: 0.0 Bohr magnetons per cell